Below is CsCeBO4 after structural relaxation, with properties calculated at the PBE level.

Results
D(E_F)	0.000	states/eV/cell
formation energy from raw total energies	-2.67	eV/atom
VASP energy	-7.43	eV/atom
volume	113	Å³/f.u.

Unit cell a=5.356 b=5.494 c=8.043 alpha=90.00 beta=107.78 gamma=90.00
Space group P2_1/m (No. 11)
One atom of each set of equivalent atoms:
Cs1 0.216 0.250 0.430 (multiplicity 2)
Ce1 0.296 0.750 0.041 (multiplicity 2)
B1 0.146 0.250 0.851 (multiplicity 2)
O1 0.128 0.750 0.262 (multiplicity 2)
O2 0.143 0.250 0.039 (multiplicity 2)
O3 0.302 0.032 0.829 (multiplicity 4)



Below is PmHfOs after structural relaxation, with properties calculated at the PBE level.

Results
calculated formation energy	-0.23	eV per atom
D(E_F)	19.609	states/eV/cell
VASP energy	-8.88	eV/atom
volume	68	Å³/f.u.

Unit cell a=4.516 b=12.480 c=7.191 alpha=90.00 beta=90.00 gamma=90.00
Space group Amm2 (No. 38)
One atom of each set of equivalent atoms:
Pm1 0.000 0.000 0.000 (multiplicity 2)
Pm2 0.000 0.211 0.367 (multiplicity 4)
Hf1 0.500 0.000 0.329 (multiplicity 2)
Hf2 0.500 0.124 0.702 (multiplicity 4)
Os1 0.000 0.000 0.578 (multiplicity 2)
Os2 0.500 0.167 0.078 (multiplicity 4)